No. 1
Below is a relaxed structure of ScAlW2, with properties calculated at the PBE level.

Cell and atoms, written as POSCAR:
```
ScAlW2
1.0
-2.418 -1.154 2.083
2.821 0.175 3.372
-1.285 4.237 0.855
W Sc Al
2 1 1
Direct
0.500 0.500 0.000
0.000 0.000 0.000
0.000 0.500 0.500
0.500 0.000 0.500
```

ΔE_f in eV per atom: 0.034
Crystal system: orthorhombic

No. 2
Below is a relaxed structure of Al2Cr, with properties calculated at the PBE level.

Cell and atoms, written as POSCAR:
```
Al2Cr
1.0
-2.727 -2.808 1.681
3.294 -1.364 -2.332
1.471 -0.136 2.158
Al Cr
2 1
Direct
0.667 0.333 0.357
0.333 0.667 0.643
0.000 0.000 0.000
```

ΔE_f in eV per atom: 0.003
Crystal system: trigonal

No. 3
Below is a relaxed structure of Na2CaAu2, with properties calculated at the PBE level.

Cell and atoms, written as POSCAR:
```
Na2CaAu2
1.0
8.326 0.000 0.000
0.000 8.326 0.000
0.000 0.000 3.399
Na Ca Au
4 2 4
Direct
0.883 0.617 0.000
0.383 0.883 0.000
0.117 0.383 0.000
0.617 0.117 0.000
0.000 0.000 0.000
0.500 0.500 0.000
0.683 0.817 0.500
0.183 0.683 0.500
0.317 0.183 0.500
0.817 0.317 0.500
```

ΔE_f in eV per atom: -0.319
Crystal system: tetragonal
Energy above the most stable polymorph in this dataset in meV/atom: 100.4

No. 4
Below is a relaxed structure of Ta3Mo4W2, with properties calculated at the PBE level.

Cell and atoms, written as POSCAR:
```
Ta3Mo4W2
1.0
5.045 0.143 0.103
0.432 7.812 -0.770
0.432 1.788 7.643
Ta Mo W
6 8 4
Direct
0.250 0.499 0.501
0.020 0.163 0.694
0.750 0.501 0.499
0.480 0.306 0.837
0.520 0.694 0.163
0.980 0.837 0.306
0.952 0.812 0.649
0.512 0.028 0.164
0.048 0.188 0.351
0.488 0.972 0.836
0.012 0.164 0.028
0.988 0.836 0.972
0.452 0.649 0.812
0.548 0.351 0.188
0.054 0.508 0.158
0.446 0.842 0.492
0.946 0.492 0.842
0.554 0.158 0.508
```

ΔE_f in eV per atom: 0.148
Crystal system: monoclinic
Energy above the most stable polymorph in this dataset in meV/atom: 287.3

No. 5
Below is a relaxed structure of Na2MnP, with properties calculated at the PBE level.

Cell and atoms, written as POSCAR:
```
Na2MnP
1.0
11.194 0.000 0.000
0.000 11.194 0.000
5.597 5.597 2.262
Mn Na P
2 4 2
Direct
0.000 0.000 0.000
0.750 0.250 0.500
0.875 0.630 0.750
0.375 0.620 0.750
0.370 0.625 0.250
0.380 0.125 0.250
0.250 0.750 0.500
0.500 0.500 0.000
```

ΔE_f in eV per atom: 0.040
Crystal system: tetragonal

No. 6
Below is a relaxed structure of KNiTe2, with properties calculated at the PBE level.

Cell and atoms, written as POSCAR:
```
KNiTe2
1.0
-2.016 -2.718 0.754
2.442 -1.218 2.139
-4.015 5.047 7.458
Te Ni K
2 1 1
Direct
0.500 0.500 0.273
0.000 0.000 0.888
0.500 0.500 0.812
0.000 0.000 0.528
```

Raw formation energy in meV per atom: -134
Crystal system: tetragonal

No. 7
Below is a relaxed structure of YTcIr2, with properties calculated at the PBE level.

Cell and atoms, written as POSCAR:
```
YTcIr2
1.0
-2.018 5.780 7.276
-4.562 5.874 5.925
-3.992 3.742 7.777
Ir Tc Y
2 1 1
Direct
0.992 0.992 0.992
0.508 0.508 0.508
0.250 0.250 0.250
0.750 0.750 0.750
```

ΔE_f in eV per atom: 0.186
Crystal system: trigonal
Energy above the most stable polymorph in this dataset in meV/atom: 426.4

No. 8
Below is a relaxed structure of NaPu2O8, with properties calculated at the PBE level.

Cell and atoms, written as POSCAR:
```
NaPu2O8
1.0
-1.069 -0.805 5.272
-3.083 -5.498 -0.730
3.487 -4.809 1.245
O Pu Na
8 2 1
Direct
0.321 0.095 0.611
0.757 0.845 0.828
0.243 0.155 0.172
0.673 0.362 0.948
0.699 0.378 0.374
0.327 0.638 0.052
0.301 0.622 0.626
0.679 0.905 0.389
0.475 0.263 0.273
0.525 0.737 0.727
0.000 0.000 0.000
```

Raw formation energy in meV per atom: -2021
Crystal system: triclinic

Number 1: total DFT energy (no corrections) -8.961 eV/atom, magnetic moment 0.0 μB per formula unit. Number 2: total DFT energy (no corrections) -5.700 eV/atom, magnetic moment 0.3 μB per formula unit. Number 3: total DFT energy (no corrections) -2.558 eV/atom, magnetic moment 0.0 μB per formula unit. Number 4: total DFT energy (no corrections) -11.495 eV/atom, magnetic moment 0.0 μB per formula unit. Number 5: total DFT energy (no corrections) -4.264 eV/atom, magnetic moment 4.0 μB per formula unit. Number 6: total DFT energy (no corrections) -3.424 eV/atom, magnetic moment 0.0 μB per formula unit. Number 7: total DFT energy (no corrections) -8.452 eV/atom, magnetic moment 0.5 μB per formula unit. Number 8: total DFT energy (no corrections) -8.353 eV/atom, magnetic moment 1.0 μB per formula unit.